1.
## ZrScTa2 (PBE-GGA)

Data for crystalline ZrScTa2 at its relaxed geometry.

Geometry as CIF:
```
data_ZrScTa2
_chemical_formula_sum 'Zr1 Sc1 Ta2'
_symmetry_space_group_name_H-M 'P 1'
_symmetry_Int_Tables_number 1
_cell_length_a 4.839
_cell_length_b 4.839
_cell_length_c 4.839
_cell_angle_alpha 60.00
_cell_angle_beta 60.00
_cell_angle_gamma 60.00
loop_
_symmetry_equiv_pos_as_xyz
'x,y,z'
loop_
_atom_site_label
_atom_site_type_symbol
_atom_site_fract_x
_atom_site_fract_y
_atom_site_fract_z
_atom_site_occupancy
Sc1 Sc 0.250 0.250 0.250 1
Ta1 Ta 0.000 0.000 0.000 1
Ta2 Ta 0.750 0.750 0.750 1
Zr1 Zr 0.500 0.500 0.500 1
```

2.
## TbScTe (PBE-GGA)

Data for crystalline TbScTe at its relaxed geometry.

Geometry as CIF:
```
data_TbScTe
_chemical_formula_sum 'Tb1 Sc1 Te1'
_symmetry_space_group_name_H-M 'P 1'
_symmetry_Int_Tables_number 1
_cell_length_a 4.921
_cell_length_b 4.921
_cell_length_c 4.921
_cell_angle_alpha 60.00
_cell_angle_beta 60.00
_cell_angle_gamma 60.00
loop_
_symmetry_equiv_pos_as_xyz
'x,y,z'
loop_
_atom_site_label
_atom_site_type_symbol
_atom_site_fract_x
_atom_site_fract_y
_atom_site_fract_z
_atom_site_occupancy
Te1 Te 0.750 0.750 0.750 1
Tb1 Tb 0.500 0.500 0.500 1
Sc1 Sc 0.000 0.000 0.000 1
```

3.
## TbThSc (PBE-GGA)

Data for crystalline TbThSc at its relaxed geometry.

Geometry as CIF:
```
data_TbThSc
_chemical_formula_sum 'Tb1 Th1 Sc1'
_symmetry_space_group_name_H-M 'P 1'
_symmetry_Int_Tables_number 1
_cell_length_a 5.264
_cell_length_b 5.264
_cell_length_c 5.264
_cell_angle_alpha 60.00
_cell_angle_beta 60.00
_cell_angle_gamma 60.00
loop_
_symmetry_equiv_pos_as_xyz
'x,y,z'
loop_
_atom_site_label
_atom_site_type_symbol
_atom_site_fract_x
_atom_site_fract_y
_atom_site_fract_z
_atom_site_occupancy
Tb1 Tb 0.250 0.250 0.250 1
Sc1 Sc 0.000 0.000 0.000 1
Th1 Th 0.750 0.750 0.750 1
```

In Ry per atom, the raw total energy values for the records above are, in order, -0.6956; -0.3792; -0.3969.
In μB/f.u., the magnetization values for the records above are, in order, 0.0; 1.0; 0.0.